No. 1
The following is a PBE calculation of Pu4Th3Sc16 after structural relaxation, from Alexandria via LeMat-Bulk.

Cell and atoms, written as POSCAR:
```
Pu4Th3Sc16
1.0
6.2745 0.0000 -0.1956
0.0000 10.4457 0.0000
-0.5657 0.0000 9.1159
Sc Pu Th
16 4 3
Direct
0.6717 0.2717 0.3700 Sc
0.0757 0.0000 0.6566 Sc
0.6717 0.7283 0.3700 Sc
0.7412 0.7416 0.0415 Sc
0.7412 0.2584 0.0415 Sc
0.3283 0.7283 0.6300 Sc
0.4207 0.5000 0.1750 Sc
0.3283 0.2717 0.6300 Sc
0.1658 0.7588 0.2876 Sc
0.2588 0.7416 0.9585 Sc
0.5793 0.5000 0.8250 Sc
0.8342 0.2412 0.7124 Sc
0.8342 0.7588 0.7124 Sc
0.2588 0.2584 0.9585 Sc
0.1658 0.2412 0.2876 Sc
0.9243 0.0000 0.3434 Sc
0.0815 0.5000 0.8455 Pu
0.4893 0.0000 0.1627 Pu
0.5107 0.0000 0.8373 Pu
0.9185 0.5000 0.1545 Pu
0.0000 0.5000 0.5000 Th
0.0000 0.0000 0.0000 Th
0.5000 0.0000 0.5000 Th
```

Summary:
Formation energy from the elements, eV per formula unit: 4.4
Size of the total moment, μB per cell: 23.84
Symmetry: P2/m
Total DFT energy (no corrections), eV for the cell shown: -176.5
Crystal system: monoclinic

---

No. 2
The following is a PBE calculation of Pu2Th2Sc7 after structural relaxation, from Alexandria via LeMat-Bulk.

Cell and atoms, written as POSCAR:
```
Pu2Th2Sc7
1.0
-2.7760 1.2123 1.5933
-1.4050 -6.8110 6.7974
3.7439 2.6391 8.5782
Sc Th Pu
7 2 2
Direct
0.8347 0.4310 0.9026 Sc
0.5693 0.3954 0.3954 Sc
0.4307 0.6046 0.6046 Sc
0.1653 0.5690 0.0974 Sc
0.0000 0.0000 0.0000 Sc
0.8347 0.9026 0.4310 Sc
0.1653 0.0974 0.5690 Sc
0.2947 0.1898 0.1898 Th
0.7053 0.8102 0.8102 Th
0.5000 0.7564 0.2436 Pu
0.5000 0.2436 0.7564 Pu
```

Summary:
Formation energy from the elements, eV per formula unit: 1.9
Energy above the most stable polymorph in this dataset, eV per formula unit: 0.00
Size of the total moment, μB per cell: 14.42
Symmetry: C2/m
Total DFT energy (no corrections), eV for the cell shown: -86.0
Crystal system: monoclinic

---

No. 3
The following is a PBE calculation of Pu2ThSc5 after structural relaxation, from Alexandria via LeMat-Bulk.

Cell and atoms, written as POSCAR:
```
Pu2ThSc5
1.0
5.2244 0.0000 0.0000
-2.6122 5.3568 0.0000
0.0000 0.0000 14.9507
Sc Pu Th
10 4 2
Direct
0.6209 0.2418 0.5507 Sc
0.9123 0.8245 0.9254 Sc
0.0877 0.1755 0.0746 Sc
0.3791 0.7582 0.4493 Sc
0.3791 0.7582 0.0507 Sc
0.6209 0.2418 0.9493 Sc
0.4755 0.9510 0.7500 Sc
0.0877 0.1755 0.4254 Sc
0.9123 0.8245 0.5746 Sc
0.5245 0.0490 0.2500 Sc
0.1982 0.3964 0.6427 Pu
0.8018 0.6036 0.3573 Pu
0.8018 0.6036 0.1427 Pu
0.1982 0.3964 0.8573 Pu
0.2239 0.4477 0.2500 Th
0.7761 0.5523 0.7500 Th
```

Summary:
Formation energy from the elements, eV per formula unit: 1.7
Size of the total moment, μB per cell: 22.28
Symmetry: Cmcm
Total DFT energy (no corrections), eV for the cell shown: -132.1
Crystal system: orthorhombic